This record from Alexandria via LeMat-Bulk describes a geometry-optimized AlTlHg2Te structure. The functional is PBE-GGA.

## Properties
Relative energy among the computed polymorphs ... 0.000 eV/f.u.
Uncorrected energy ... -10.049 eV per cell
Total magnetization ... 0.00 μB/cell
Formation energy without anion corrections ... -39.0 meV/atom
Crystal system ... tetragonal

Unit cell a=5.2932 b=5.2932 c=5.6666 alpha=90.00 beta=90.00 gamma=90.00
With the nearest neighbours (Å) after each atom.
Space group P4/mmm (No. 123)
One atom of each set of equivalent atoms:
Al (0.0000, 0.0000, 0.0000) x1  4 Hg 2.65, 2 Te 2.83
Tl (0.5000, 0.5000, 0.5000) x1  4 Te 3.74, 8 Hg 3.88
Hg (0.0000, 0.5000, 0.0000) x2  2 Al 2.65
Te (0.0000, 0.0000, 0.5000) x1  2 Al 2.83

This record from Alexandria via LeMat-Bulk describes a geometry-optimized AlTlHg2Te structure. The functional is PBE-GGA.

## Properties
Relative energy among the computed polymorphs ... 0.924 eV/f.u.
Uncorrected energy ... -9.125 eV per cell
Total magnetization ... 0.00 μB/cell
Formation energy without anion corrections ... 145.8 meV/atom
Crystal system ... tetragonal

Unit cell a=5.2171 b=5.2171 c=5.6115 alpha=90.00 beta=90.00 gamma=90.00
With the nearest neighbours (Å) after each atom.
Space group P4/mmm (No. 123)
One atom of each set of equivalent atoms:
Al (0.0000, 0.0000, 0.0000) x1  4 Hg 2.61, 2 Tl 2.81
Tl (0.0000, 0.0000, 0.5000) x1  2 Al 2.81
Hg (0.0000, 0.5000, 0.0000) x2  2 Al 2.61
Te (0.5000, 0.5000, 0.5000) x1  4 Tl 3.69, 8 Hg 3.83

This record from Alexandria via LeMat-Bulk describes a geometry-optimized AlTlHg2Te4 structure. The functional is PBE-GGA.

## Properties
Uncorrected energy ... -42.804 eV per cell
Total magnetization ... 0.00 μB/cell
Formation energy without anion corrections ... -265.3 meV/atom
Crystal system ... orthorhombic

Unit cell a=7.3042 b=8.7384 c=9.0574 alpha=90.00 beta=90.00 gamma=90.00
With the nearest neighbours (Å) after each atom.
Space group I222 (No. 23)
One atom of each set of equivalent atoms:
Al (0.0000, 0.0000, 0.0000) x2  4 Te 2.65
Tl (0.0000, 0.0000, 0.5000) x2  8 Te 3.76-3.79
Hg (0.0000, 0.5000, 0.3198) x4  2 Te 2.70
Te (0.2045, 0.1856, 0.8369) x8  1 Al 2.65, 1 Hg 2.70

This record from Alexandria via LeMat-Bulk describes a geometry-optimized Th2Al2Hg structure. The functional is PBE-GGA.

## Properties
Calculated formation energy ... -0.34 eV/atom
Uncorrected energy ... -97.290 eV per cell
Total magnetization ... 0.00 μB/cell
Crystal system ... monoclinic

Unit cell a=11.2187 b=4.6130 c=10.9372 alpha=90.00 beta=117.36 gamma=90.00
With the nearest neighbours (Å) after each atom.
Space group C2/m (No. 12)
One atom of each set of equivalent atoms:
Th (0.0014, 0.0000, 0.3228) x4  6 Al 3.19-3.31, 4 Hg 3.28-3.54
Th (0.1831, 0.0000, 0.0979) x4  6 Al 3.15-3.34, 2 Hg 3.44
Al (0.0264, 0.5000, 0.8902) x4  1 Al 2.73, 1 Hg 2.77
Al (0.1354, 0.5000, 0.5645) x4  1 Al 2.70, 3 Hg 2.74-2.94
Hg (0.2184, 0.5000, 0.3460) x4  4 Al 2.74-2.94

This record from Alexandria via LeMat-Bulk describes a geometry-optimized Th2AlHg structure. The functional is PBE-GGA.

## Properties
Calculated formation energy ... 0.25 eV/atom
Relative energy among the computed polymorphs ... 2.019 eV/f.u.
Uncorrected energy ... -53.684 eV per cell
Total magnetization ... 0.00 μB/cell
Crystal system ... trigonal

Unit cell a=3.3500 b=3.3500 c=35.2916 alpha=90.00 beta=90.00 gamma=120.00
With the nearest neighbours (Å) after each atom.
Space group R-3m (No. 166, hexagonal axes)
One atom of each set of equivalent atoms:
Th (0.0000, 0.0000, 0.0887) x6  1 Al 3.13, 6 Th 3.35, 3 Hg 3.36
Al (0.0000, 0.0000, 0.0000) x3  2 Th 3.13, 6 Al 3.35
Hg (0.0000, 0.0000, 0.5000) x3  6 Hg 3.35, 6 Th 3.36

This record from Alexandria via LeMat-Bulk describes a geometry-optimized ThAl4Hg structure. The functional is PBE-GGA.

## Properties
Calculated formation energy ... -0.10 eV/atom
Uncorrected energy ... -93.226 eV per cell
Total magnetization ... 0.00 μB/cell
Crystal system ... cubic

Unit cell a=7.9604 b=7.9604 c=7.9604 alpha=90.00 beta=90.00 gamma=90.00
With the nearest neighbours (Å) after each atom.
Space group F-43m (No. 216)
One atom of each set of equivalent atoms:
Th (0.0000, 0.0000, 0.0000) x4  12 Al 3.30, 4 Hg 3.45
Al (0.1250, 0.1250, 0.6250) x16  6 Al 2.81-2.82
Hg (0.2500, 0.2500, 0.2500) x4  12 Al 3.30, 4 Th 3.45

- Which of these has the highest uncorrected energy?
  number 2